# 1
An optimized crystal structure of LaPPt2. Source: Alexandria via LeMat-Bulk, functional PBE-GGA.

abc: 5.807 5.807 5.807
angles: 42.58 42.58 42.58
Atoms (fractional coordinates):
La: 0.000 0.000 0.000
P: 0.500 0.500 0.500
Pt: 0.211 0.211 0.211
Pt: 0.789 0.789 0.789

Results
The total energy comes out at -6.47 eV per atom. The spin magnetization comes out at 0.0 μB/f.u. As for the energy of formation: -3.5 eV per formula unit. The density of states at the Fermi level is 0.75 states/eV per atom. The mass density comes out at 11.45 g cm⁻³.


# 2
An optimized crystal structure of LiAcZn2Pd4. Source: Alexandria via LeMat-Bulk, functional PBE-GGA.

abc: 9.052 9.052 9.052
angles: 27.90 27.90 27.90
Atoms (fractional coordinates):
Li: 0.000 0.000 0.000
Ac: 0.500 0.500 0.500
Zn: 0.268 0.268 0.268
Zn: 0.732 0.732 0.732
Pd: 0.095 0.095 0.095
Pd: 0.370 0.370 0.370
Pd: 0.630 0.630 0.630
Pd: 0.905 0.905 0.905

Results
The total energy comes out at -4.30 eV per atom. The spin magnetization comes out at 0.0 μB/f.u. As for the energy of formation: -5.0 eV per formula unit. The density of states at the Fermi level is 0.45 states/eV per atom. The mass density comes out at 9.15 g cm⁻³.


# 3
An optimized crystal structure of Ce8TlRh6. Source: Alexandria via LeMat-Bulk, functional PBE-GGA.

abc: 10.332 10.332 3.921
angles: 90.00 90.00 120.00
Atoms (fractional coordinates):
Ce: 0.053 0.732 0.226
Ce: 0.268 0.321 0.226
Ce: 0.321 0.053 0.774
Ce: 0.333 0.667 0.741
Ce: 0.667 0.333 0.259
Ce: 0.679 0.947 0.226
Ce: 0.732 0.679 0.774
Ce: 0.947 0.268 0.774
Tl: 0.000 0.000 0.500
Rh: 0.095 0.474 0.260
Rh: 0.379 0.905 0.260
Rh: 0.474 0.379 0.740
Rh: 0.526 0.621 0.260
Rh: 0.621 0.095 0.740
Rh: 0.905 0.526 0.740

Results
The total energy comes out at -6.82 eV per atom. The spin magnetization comes out at 3.2 μB/f.u. As for the energy of formation: -8.4 eV per formula unit. The density of states at the Fermi level is 2.14 states/eV per atom. The mass density comes out at 8.90 g cm⁻³.


# 4
An optimized crystal structure of TcNiH. Source: Alexandria via LeMat-Bulk, functional PBE-GGA.

abc: 2.743 3.760 5.380
angles: 90.00 90.00 90.00
Atoms (fractional coordinates):
Tc: 0.250 0.250 0.116
Tc: 0.750 0.750 0.884
Ni: 0.250 0.250 0.619
Ni: 0.750 0.750 0.381
H: 0.250 0.750 0.611
H: 0.750 0.250 0.389

Results
The total energy comes out at -6.49 eV per atom. The spin magnetization comes out at 0.0 μB/f.u. The density of states at the Fermi level is 0.86 states/eV per atom. The mass density comes out at 9.44 g cm⁻³.


Question: What is the formula in the second record?
Answer: LiAcZn2Pd4


Please write out number 3 again, unchanged.
An optimized crystal structure of Ce8TlRh6. Source: Alexandria via LeMat-Bulk, functional PBE-GGA.

abc: 10.332 10.332 3.921
angles: 90.00 90.00 120.00
Atoms (fractional coordinates):
Ce: 0.053 0.732 0.226
Ce: 0.268 0.321 0.226
Ce: 0.321 0.053 0.774
Ce: 0.333 0.667 0.741
Ce: 0.667 0.333 0.259
Ce: 0.679 0.947 0.226
Ce: 0.732 0.679 0.774
Ce: 0.947 0.268 0.774
Tl: 0.000 0.000 0.500
Rh: 0.095 0.474 0.260
Rh: 0.379 0.905 0.260
Rh: 0.474 0.379 0.740
Rh: 0.526 0.621 0.260
Rh: 0.621 0.095 0.740
Rh: 0.905 0.526 0.740

Results
The total energy comes out at -6.82 eV per atom. The spin magnetization comes out at 3.2 μB/f.u. As for the energy of formation: -8.4 eV per formula unit. The density of states at the Fermi level is 2.14 states/eV per atom. The mass density comes out at 8.90 g cm⁻³.


Question: Number 1 is which compound?
Answer: LaPPt2